Entry 1:
Below is a relaxed ZrRh2Au crystal, with properties calculated at the PBE level.

Geometry as POSCAR:
```
ZrRh2Au
1.0
4.026 0.000 0.000
0.000 4.026 0.000
0.000 0.000 18.163
Zr Rh Au
4 8 4
direct
0.000 0.000 0.000
0.000 0.500 0.250
0.500 0.000 0.750
0.500 0.500 0.500
0.240 0.250 0.625
0.250 0.740 0.875
0.250 0.760 0.375
0.260 0.250 0.125
0.740 0.750 0.125
0.750 0.240 0.375
0.750 0.260 0.875
0.760 0.750 0.625
0.000 0.000 0.500
0.000 0.500 0.750
0.500 0.000 0.250
0.500 0.500 0.000
```

Results
* SG: I-42d (122)

Entry 2:
Below is a relaxed Zr6RhAu5 crystal, with properties calculated at the PBE level.

Geometry as POSCAR:
```
Zr6RhAu5
1.0
4.836 0.000 0.000
0.000 6.733 0.000
-2.401 -3.361 7.334
Zr Rh Au
6 1 5
direct
0.000 0.239 0.001
0.000 0.761 0.999
0.344 0.084 0.689
0.344 0.603 0.688
0.656 0.397 0.312
0.656 0.916 0.311
0.500 0.000 0.000
0.172 0.674 0.345
0.185 0.185 0.371
0.500 0.500 0.000
0.815 0.815 0.629
0.828 0.326 0.655
```

Results
* SG: P-1 (2)

Entry 3:
Below is a relaxed Zr2RhAu crystal, with properties calculated at the PBE level.

Geometry as POSCAR:
```
Zr2RhAu
1.0
3.548 0.000 0.000
-1.774 3.072 0.000
0.000 0.000 22.909
Zr Rh Au
6 3 3
direct
0.000 0.000 0.242
0.000 0.000 0.758
0.333 0.667 0.424
0.333 0.667 0.909
0.667 0.333 0.091
0.667 0.333 0.576
0.000 0.000 0.500
0.333 0.667 0.167
0.667 0.333 0.833
0.000 0.000 0.000
0.333 0.667 0.667
0.667 0.333 0.333
```

Results
* SG: R-3m (166)

Entry 4:
Below is a relaxed Zr3RhAu crystal, with properties calculated at the PBE level.

Geometry as POSCAR:
```
Zr3RhAu
1.0
4.988 0.000 0.000
0.000 4.988 0.000
0.000 0.000 4.988
Zr Rh Au
3 1 1
direct
0.000 0.000 0.500
0.000 0.500 0.000
0.500 0.000 0.000
0.000 0.000 0.000
0.500 0.500 0.500
```

Results
* SG: Pm-3m (221)
* energy above the lowest structure with this stoichiometry: 0.000 eV per atom

Entry 5:
Below is a relaxed ZrRhAu2 crystal, with properties calculated at the PBE level.

Geometry as POSCAR:
```
ZrRhAu2
1.0
5.609 0.000 0.000
0.000 10.222 0.000
0.000 0.000 4.890
Zr Rh Au
4 4 8
direct
0.000 0.179 0.250
0.000 0.821 0.750
0.500 0.321 0.750
0.500 0.679 0.250
0.000 0.326 0.750
0.000 0.674 0.250
0.500 0.174 0.250
0.500 0.826 0.750
0.250 0.077 0.750
0.250 0.423 0.250
0.250 0.577 0.750
0.250 0.923 0.250
0.750 0.077 0.750
0.750 0.423 0.250
0.750 0.577 0.750
0.750 0.923 0.250
```

Results
* SG: Cmcm (63)

Entry 6:
Below is a relaxed ZrRh2Au crystal, with properties calculated at the PBE level.

Geometry as POSCAR:
```
ZrRh2Au
1.0
3.481 0.000 0.000
0.000 3.481 0.000
0.000 0.000 5.651
Zr Rh Au
1 2 1
direct
0.000 0.000 0.000
0.000 0.000 0.535
0.500 0.500 0.772
0.500 0.500 0.284
```

Results
* SG: P4mm (99)

Entry 7:
Below is a relaxed ZrRh2Au crystal, with properties calculated at the PBE level.

Geometry as POSCAR:
```
ZrRh2Au
1.0
3.989 0.000 0.000
0.000 3.989 0.000
0.000 0.000 8.337
Zr Rh Au
2 4 2
direct
0.000 0.000 0.000
0.500 0.500 0.500
0.000 0.000 0.500
0.000 0.500 0.250
0.500 0.000 0.750
0.500 0.500 0.000
0.000 0.500 0.750
0.500 0.000 0.250
```

Results
* SG: I-4m2 (119)

Entry 8:
Below is a relaxed Zr2RhAu crystal, with properties calculated at the PBE level.

Geometry as POSCAR:
```
Zr2RhAu
1.0
3.393 0.000 0.000
0.000 4.407 0.000
-1.651 0.000 5.243
Zr Rh Au
2 1 1
direct
0.000 0.000 0.000
0.286 0.500 0.583
0.741 0.000 0.490
0.562 0.500 0.127
```

Results
* SG: Pm (6)

Entry 9:
Below is a relaxed ZrRh4Au crystal, with properties calculated at the PBE level.

Geometry as POSCAR:
```
ZrRh4Au
1.0
0.000 3.661 3.661
3.661 0.000 3.661
3.661 3.661 0.000
Zr Rh Au
1 4 1
direct
0.000 0.000 0.000
0.375 0.375 0.375
0.375 0.375 0.874
0.375 0.874 0.375
0.874 0.375 0.375
0.750 0.750 0.750
```

Results
* SG: F-43m (216)

Entry 10:
Below is a relaxed ZrRhAu crystal, with properties calculated at the PBE level.

Geometry as POSCAR:
```
ZrRhAu
1.0
3.473 0.000 0.000
0.000 3.473 0.000
0.000 0.000 8.958
Zr Rh Au
2 2 2
direct
0.000 0.000 0.000
0.500 0.500 0.500
0.000 0.000 0.354
0.500 0.500 0.854
0.000 0.000 0.675
0.500 0.500 0.175
```

Results
* SG: I4mm (107)
* energy above the lowest structure with this stoichiometry: 0.000 eV per atom

Entry 11:
Below is a relaxed Zr2RhAu crystal, with properties calculated at the PBE level.

Geometry as POSCAR:
```
Zr2RhAu
1.0
6.628 0.000 0.000
0.000 6.628 0.000
0.000 0.000 6.628
Zr Rh Au
8 4 4
direct
0.000 0.000 0.000
0.000 0.500 0.500
0.250 0.250 0.250
0.250 0.750 0.750
0.500 0.000 0.500
0.500 0.500 0.000
0.750 0.250 0.750
0.750 0.750 0.250
0.250 0.250 0.750
0.250 0.750 0.250
0.750 0.250 0.250
0.750 0.750 0.750
0.000 0.000 0.500
0.000 0.500 0.000
0.500 0.000 0.000
0.500 0.500 0.500
```

Results
* SG: F-43m (216)

Entry 12:
Below is a relaxed Zr2RhAu crystal, with properties calculated at the PBE level.

Geometry as POSCAR:
```
Zr2RhAu
1.0
9.845 0.000 0.000
0.000 3.185 0.000
-0.979 0.000 4.890
Zr Rh Au
4 2 2
direct
0.000 0.000 0.000
0.229 0.000 0.656
0.500 0.500 0.000
0.729 0.500 0.656
0.485 0.000 0.484
0.985 0.500 0.484
0.247 0.500 0.178
0.747 0.000 0.178
```

Results
* SG: Cm (8)

no.,formation enthalpy at 0 K (meV/atom),calculated total energy (eV/atom)
1,-108,-6.74
2,-511,-6.76
3,-418,-7.35
4,206,-7.05
5,-555,-6.17
6,-384,-7.02
7,-544,-7.18
8,-651,-7.58
9,-295,-7.17
10,-658,-7.05
11,-434,-7.37
12,-493,-7.42